[1]
DFT (SCAN) results for Na2BeCdIn at its PBEsol-relaxed geometry.

a b c (Å): 5.782 5.782 5.210
angles (deg): 90.00 90.00 90.00
Sites, in units of the cell vectors:
Na: 0.000 0.500 0.000
Na: 0.500 0.000 0.000
Be: 0.000 0.000 0.500
Cd: 0.500 0.500 0.500
In: 0.500 0.500 0.000

D(E_F) (states/eV/cell): 2.9
Formation energy (eV per atom): 0.74
DFT total energy (eV/atom): -14.582
ρ (g/cm³): 2.69
Space-group type: No. 123



[2]
DFT (SCAN) results for BeCdIr at its PBEsol-relaxed geometry.

a b c (Å): 3.987 3.987 3.101
angles (deg): 90.00 90.00 120.00
Sites, in units of the cell vectors:
Be: 0.000 0.000 0.000
Cd: 0.667 0.333 0.500
Ir: 0.333 0.667 0.000

D(E_F) (states/eV/cell): 0.7
Formation energy (eV per atom): -0.05
DFT total energy (eV/atom): -35.342
ρ (g/cm³): 12.20
Space-group type: No. 187
Energy above the lowest structure with this stoichiometry (meV/atom): 0



[3]
DFT (SCAN) results for BeCdIr at its PBEsol-relaxed geometry.

a b c (Å): 2.810 2.810 6.273
angles (deg): 90.00 90.00 120.00
Sites, in units of the cell vectors:
Be: 0.000 0.000 0.000
Cd: 0.333 0.667 0.639
Ir: 0.667 0.333 0.252

D(E_F) (states/eV/cell): 0.7
Formation energy (eV per atom): -0.01
DFT total energy (eV/atom): -35.296
ρ (g/cm³): 12.14
Space-group type: No. 156
Energy above the lowest structure with this stoichiometry (meV/atom): 47



The highest D(E_F) belongs to which entry?
Na2BeCdIn